PBE TlNiSb2, relaxed; DOS at the Fermi energy = 0.603 states/eV per atom; formation energy without anion corrections = 0.117 eV/atom; ΔE to the lowest computed polymorph = 22.84 kJ/mol of atoms
1.0
3.550 0.000 0.000
0.000 3.752 0.022
0.000 2.013 7.400
Sb Ni Tl
2 1 1
Direct
0.000 0.976 0.922
0.500 0.336 0.204
0.500 0.516 0.852
0.000 0.672 0.521

=====

PBE TlNi2Sb, relaxed; DOS at the Fermi energy = 0.952 states/eV per atom; formation energy without anion corrections = 0.101 eV/atom
1.0
-3.090 0.329 2.587
-3.285 -2.307 -0.487
0.282 -4.789 4.087
Ni Sb Tl
2 1 1
Direct
0.957 0.957 0.128
0.271 0.271 0.188
0.543 0.543 0.372
0.729 0.729 0.812

=====

PBE TlNi2Sb2, relaxed; DOS at the Fermi energy = 0.890 states/eV per atom; formation energy without anion corrections = 0.184 eV/atom
1.0
8.282 0.000 0.000
0.000 8.282 0.000
0.000 0.000 3.087
Ni Tl Sb
4 2 4
Direct
0.616 0.884 0.500
0.116 0.616 0.500
0.884 0.384 0.500
0.384 0.116 0.500
0.000 0.000 0.000
0.500 0.500 0.000
0.145 0.355 0.000
0.355 0.855 0.000
0.645 0.145 0.000
0.855 0.645 0.000

=====

PBE TlNi2Sb, relaxed; DOS at the Fermi energy = 1.014 states/eV per atom; formation energy without anion corrections = 0.302 eV/atom
1.0
5.512 -0.002 0.000
2.853 4.716 0.000
-4.182 -2.357 2.708
Tl Ni Sb
1 2 1
Direct
0.750 0.250 0.500
0.000 0.000 0.000
0.250 0.750 0.500
0.500 0.500 0.000

=====

PBE TlNi3Sb, relaxed; DOS at the Fermi energy = 1.481 states/eV per atom; formation energy without anion corrections = 0.668 eV/atom; ΔE to the lowest computed polymorph = 0.00 kJ/mol of atoms
1.0
4.730 0.000 0.000
0.000 4.730 0.000
0.000 0.000 4.730
Sb Ni Tl
1 3 1
Direct
0.000 0.000 0.000
0.500 0.000 0.000
0.000 0.000 0.500
0.000 0.500 0.000
0.500 0.500 0.500

=====

PBE TlNi2Sb, relaxed; DOS at the Fermi energy = 0.587 states/eV per atom; formation energy without anion corrections = 0.145 eV/atom
1.0
3.198 0.000 0.000
0.000 3.419 -0.003
0.000 1.329 6.797
Ni Tl Sb
2 1 1
Direct
0.000 0.825 0.060
0.000 0.675 0.440
0.500 0.750 0.750
0.500 0.250 0.250

=====

PBE TlNiSb2, relaxed; DOS at the Fermi energy = 0.520 states/eV per atom; formation energy without anion corrections = 0.150 eV/atom; ΔE to the lowest computed polymorph = 26.12 kJ/mol of atoms
1.0
3.568 0.000 0.000
0.000 3.564 0.000
0.000 0.000 7.908
Tl Ni Sb
1 1 2
Direct
0.000 0.000 0.521
0.500 0.500 0.853
0.500 0.500 0.194
0.000 0.000 0.931

=====

PBE TlNiSb2, relaxed; DOS at the Fermi energy = 0.497 states/eV per atom; formation energy without anion corrections = -0.090 eV/atom; ΔE to the lowest computed polymorph = 2.89 kJ/mol of atoms
1.0
-4.000 -0.102 -0.307
-1.954 -3.492 0.300
-2.571 -0.255 7.240
Sb Tl Ni
2 1 1
Direct
0.530 0.530 0.408
0.970 0.970 0.092
0.750 0.750 0.750
0.250 0.250 0.250

=====

PBE TlNi2Sb, relaxed; DOS at the Fermi energy = 0.728 states/eV per atom; formation energy without anion corrections = 0.188 eV/atom
1.0
-6.056 2.115 -0.051
-4.559 0.439 4.492
5.894 1.188 -2.238
Ni Sb Tl
2 1 1
Direct
0.045 0.045 0.000
0.280 0.780 0.500
0.460 0.460 0.000
0.714 0.214 0.500

=====

PBE TlNiSb2, relaxed; DOS at the Fermi energy = 0.641 states/eV per atom; formation energy without anion corrections = 0.436 eV/atom; ΔE to the lowest computed polymorph = 53.66 kJ/mol of atoms
1.0
-3.653 -1.130 -3.974
2.606 -2.893 -3.905
-0.272 -0.752 5.457
Tl Ni Sb
1 1 2
Direct
0.500 0.500 0.000
0.750 0.250 0.500
0.000 0.000 0.000
0.250 0.750 0.500

=====

PBE TlNi4Sb12, relaxed; DOS at the Fermi energy = 0.613 states/eV per atom; formation energy without anion corrections = -0.133 eV/atom
1.0
7.612 0.000 -2.691
-3.806 6.592 -2.691
0.000 0.000 8.073
Sb Ni Tl
12 4 1
Direct
0.178 0.840 0.338
0.338 0.498 0.160
0.822 0.160 0.662
0.498 0.160 0.338
0.662 0.822 0.160
0.160 0.662 0.822
0.840 0.338 0.178
0.502 0.840 0.662
0.840 0.662 0.502
0.338 0.178 0.840
0.160 0.338 0.498
0.662 0.502 0.840
0.500 0.500 0.500
0.000 0.000 0.500
0.000 0.500 0.000
0.500 0.000 0.000
0.000 0.000 0.000

=====

PBE TlNiSb, relaxed; DOS at the Fermi energy = 0.486 states/eV per atom; formation energy without anion corrections = -0.056 eV/atom
1.0
4.464 0.000 0.000
0.000 4.464 0.000
0.000 0.000 7.540
Sb Tl Ni
2 2 2
Direct
0.500 0.000 0.662
0.000 0.500 0.338
0.500 0.000 0.166
0.000 0.500 0.834
0.500 0.500 0.500
0.000 0.000 0.500

=====

PBE TlNi2Sb, relaxed; DOS at the Fermi energy = 0.764 states/eV per atom; formation energy without anion corrections = 0.325 eV/atom
1.0
-0.667 -1.102 -4.294
0.649 -4.320 1.008
-8.060 -3.577 -0.170
Tl Ni Sb
2 4 2
Direct
0.000 0.000 0.000
0.750 0.250 0.500
0.875 0.804 0.750
0.375 0.446 0.750
0.554 0.125 0.250
0.196 0.625 0.250
0.250 0.750 0.500
0.500 0.500 0.000

=====

PBE TlNiSb2, relaxed; DOS at the Fermi energy = 0.497 states/eV per atom; formation energy without anion corrections = 0.102 eV/atom; ΔE to the lowest computed polymorph = 21.42 kJ/mol of atoms
1.0
-4.959 -3.097 -2.528
0.217 -2.046 -6.028
2.191 -0.094 5.980
Tl Sb Ni
1 2 1
Direct
0.750 0.250 0.500
0.066 0.066 0.000
0.434 0.434 0.000
0.250 0.750 0.500

=====

PBE TlNiSb, relaxed; DOS at the Fermi energy = 0.479 states/eV per atom; formation energy without anion corrections = 0.065 eV/atom
1.0
-2.298 -1.346 2.438
3.313 1.017 1.011
-2.047 5.543 1.130
Ni Sb Tl
1 1 1
Direct
0.000 0.000 0.024
0.667 0.333 0.261
0.333 0.667 0.714

=====

PBE TlNi2Sb2, relaxed; DOS at the Fermi energy = 0.583 states/eV per atom; formation energy without anion corrections = 0.132 eV/atom
1.0
-1.149 -4.302 1.336
4.176 -0.501 1.980
-0.313 -0.573 5.973
Sb Tl Ni
2 1 2
Direct
0.750 0.250 0.500
0.250 0.750 0.500
0.000 0.000 0.000
0.372 0.372 0.257
0.628 0.628 0.743

=====

PBE TlNi2Sb, relaxed; DOS at the Fermi energy = 0.784 states/eV per atom; formation energy without anion corrections = 0.203 eV/atom
1.0
3.278 0.000 0.000
0.000 3.276 0.000
0.000 0.000 6.631
Sb Tl Ni
1 1 2
Direct
0.500 0.500 0.250
0.500 0.500 0.750
0.000 0.000 0.453
0.000 0.000 0.047

=====

PBE TlNi2Sb, relaxed; DOS at the Fermi energy = 0.609 states/eV per atom; formation energy without anion corrections = 0.237 eV/atom
1.0
7.327 0.020 0.044
-2.926 3.543 -0.031
1.475 1.195 2.649
Tl Sb Ni
1 1 2
Direct
0.500 0.500 0.000
0.000 0.500 0.500
0.000 0.000 0.000
0.500 0.000 0.500

=====

PBE TlNiSb, relaxed; DOS at the Fermi energy = 0.524 states/eV per atom; formation energy without anion corrections = 0.068 eV/atom
1.0
-3.323 6.278 0.323
-4.944 4.475 2.466
1.520 1.514 2.422
Sb Tl Ni
1 1 1
Direct
0.384 0.384 0.616
0.637 0.637 0.363
0.979 0.979 0.021

=====

PBE TlNiSb2, relaxed; DOS at the Fermi energy = 0.472 states/eV per atom; formation energy without anion corrections = -0.006 eV/atom; ΔE to the lowest computed polymorph = 11.01 kJ/mol of atoms
1.0
-7.622 5.282 2.636
-9.093 0.933 3.063
9.100 -3.113 -0.667
Sb Tl Ni
2 1 1
Direct
0.770 0.270 0.500
0.090 0.090 0.000
0.439 0.439 0.000
0.201 0.701 0.500

=====

PBE TlNi2Sb, relaxed; DOS at the Fermi energy = 0.696 states/eV per atom; formation energy without anion corrections = 0.059 eV/atom
1.0
4.012 0.000 0.000
0.000 3.518 0.013
0.000 1.735 4.970
Tl Sb Ni
1 1 2
Direct
0.500 0.770 0.836
0.000 0.489 0.399
0.500 0.043 0.287
0.000 0.199 0.978

=====

PBE TlNi2Sb, relaxed; DOS at the Fermi energy = 0.494 states/eV per atom; formation energy without anion corrections = 0.198 eV/atom
1.0
6.823 -0.200 -0.120
5.943 3.358 -0.120
5.943 1.470 3.021
Ni Sb Tl
2 1 1
Direct
0.992 0.992 0.992
0.508 0.508 0.508
0.250 0.250 0.250
0.750 0.750 0.750

=====

PBE TlNiSb2, relaxed; DOS at the Fermi energy = 0.976 states/eV per atom; formation energy without anion corrections = 0.444 eV/atom; ΔE to the lowest computed polymorph = 54.46 kJ/mol of atoms
1.0
0.000 3.597 3.597
3.597 0.000 3.597
3.597 3.597 0.000
Tl Ni Sb
1 1 2
Direct
0.500 0.500 0.500
0.000 0.000 0.000
0.750 0.750 0.750
0.250 0.250 0.250

=====

PBE TlNiSb2, relaxed; DOS at the Fermi energy = 0.922 states/eV per atom; formation energy without anion corrections = 0.405 eV/atom; ΔE to the lowest computed polymorph = 50.67 kJ/mol of atoms
1.0
5.021 -0.153 0.795
-1.589 4.765 0.795
1.134 1.523 4.758
Sb Ni Tl
2 1 1
Direct
0.000 0.000 0.000
0.500 0.500 0.000
0.000 0.500 0.500
0.500 0.000 0.500

=====

PBE TlNi2Sb, relaxed; DOS at the Fermi energy = 0.558 states/eV per atom; formation energy without anion corrections = 0.110 eV/atom
1.0
3.264 0.000 0.000
0.000 3.264 0.000
0.000 0.000 7.229
Tl Ni Sb
1 2 1
Direct
0.500 0.500 0.830
0.500 0.500 0.221
0.000 0.000 0.047
0.000 0.000 0.401

=====

PBE TlNi2Sb, relaxed; DOS at the Fermi energy = 1.093 states/eV per atom; formation energy without anion corrections = 0.571 eV/atom
1.0
4.701 0.000 0.000
2.350 4.071 0.000
2.350 1.357 3.838
Sb Tl Ni
1 1 2
Direct
0.500 0.500 0.500
0.750 0.750 0.750
0.000 0.000 0.000
0.250 0.250 0.250

=====

PBE TlNiSb2, relaxed; DOS at the Fermi energy = 0.595 states/eV per atom; formation energy without anion corrections = 0.162 eV/atom; ΔE to the lowest computed polymorph = 27.27 kJ/mol of atoms
1.0
-7.483 -3.188 -4.066
-8.165 -3.944 -0.688
-8.853 -0.721 -1.948
Sb Ni Tl
2 1 1
Direct
0.253 0.253 0.253
0.021 0.021 0.021
0.744 0.744 0.744
0.482 0.482 0.482

=====

PBE TlNiSb2, relaxed; DOS at the Fermi energy = 0.610 states/eV per atom; formation energy without anion corrections = 0.414 eV/atom; ΔE to the lowest computed polymorph = 51.57 kJ/mol of atoms
1.0
-4.762 -0.722 2.330
-3.121 -1.406 -4.113
4.689 -2.149 1.423
Sb Ni Tl
2 1 1
Direct
0.000 0.000 0.000
0.500 0.500 0.000
0.750 0.250 0.500
0.250 0.750 0.500

=====

PBE TlNiSb2, relaxed; DOS at the Fermi energy = 0.796 states/eV per atom; formation energy without anion corrections = 0.431 eV/atom; ΔE to the lowest computed polymorph = 53.14 kJ/mol of atoms
1.0
3.804 0.000 0.000
0.000 5.085 -0.061
0.000 3.977 4.837
Tl Sb Ni
1 2 1
Direct
0.500 0.500 0.500
0.500 0.500 0.000
0.000 0.000 0.000
0.000 0.000 0.500

=====

Final energy, record by record: -3.98, -4.41, -4.25, -4.21, -4.10, -4.37, -3.95, -4.19, -4.32, -3.66, -4.54, -4.15, -4.19, -4.00, -4.03, -4.30, -4.31, -4.28, -4.02, -4.10, -4.45, -4.31, -3.65, -3.69, -4.40, -3.94, -3.94, -3.68, -3.67 eV per atom